A plane-wave DFT calculation with GGA-PBE was carried out for a relaxed Mg2Ni3B crystal. Values from VASP.

```
&SYSTEM
  ibrav = 0, nat = 6, ntyp = 3
/
ATOMIC_SPECIES
Ni 58.69 Ni.upf
Mg 24.30 Mg.upf
B 10.81 B.upf
CELL_PARAMETERS angstrom
-4.0433 0.4760 1.7721
-0.5304 -2.2745 3.7763
-0.0318 2.5881 3.6077
ATOMIC_POSITIONS crystal
Ni 0.0000 0.0000 0.5000
Ni 0.0000 0.5000 0.0000
Ni 0.5000 0.0000 0.0000
Mg 0.6263 0.6263 0.6263
Mg 0.3737 0.3737 0.3737
B 0.0000 0.0000 0.0000
```

Calculated values
**VASP energy**: -4.7476 eV per atom
**Energy of formation**: -0.21 eV/atom
**SG**: R-3m, No. 166
**Magnetization**: 0.00 Bohr magnetons per cell